Density functional theory data (GGA-PBE) for an optimized crystal structure of TaH6C2SeCl5.

The structure in CIF format:
```
data_TaH6C2SeCl5
_chemical_formula_sum 'Ta4 H24 C8 Se4 Cl20'
_symmetry_space_group_name_H-M 'C m c 21'
_symmetry_Int_Tables_number 36
_symmetry_space_group_name_Hall 'C 2c -2'
_cell_length_a 8.658
_cell_length_b 12.544
_cell_length_c 11.725
_cell_angle_alpha 90.00
_cell_angle_beta 90.00
_cell_angle_gamma 90.00
loop_
_atom_site_label
_atom_site_type_symbol
_atom_site_fract_x
_atom_site_fract_y
_atom_site_fract_z
_atom_site_occupancy
Ta1 Ta 0.000 0.207 0.000 1
H1 H 0.159 0.485 0.277 1
H2 H 0.160 0.372 0.757 1
H3 H 0.223 0.068 0.366 1
C1 C 0.169 0.437 0.818 1
Se1 Se 0.000 0.426 0.929 1
Cl1 Cl 0.000 0.031 0.057 1
Cl2 Cl 0.000 0.171 0.804 1
Cl3 Cl 0.000 0.284 0.183 1
Cl4 Cl 0.232 0.271 0.496 1
```

Summary:
- total magnetic moment (μB/f.u.) = 0.0
- DFT total energy (eV/atom) = -4.8686

=====

Density functional theory data (GGA-PBE) for an optimized crystal structure of MgBiN3.

The structure in CIF format:
```
data_MgBiN3
_chemical_formula_sum 'Mg1 Bi1 N3'
_symmetry_space_group_name_H-M 'P m -3 m'
_symmetry_Int_Tables_number 221
_symmetry_space_group_name_Hall '-P 4 2 3'
_cell_length_a 4.035
_cell_length_b 4.035
_cell_length_c 4.035
_cell_angle_alpha 90.00
_cell_angle_beta 90.00
_cell_angle_gamma 90.00
loop_
_atom_site_label
_atom_site_type_symbol
_atom_site_fract_x
_atom_site_fract_y
_atom_site_fract_z
_atom_site_occupancy
Mg1 Mg 0.000 0.000 0.000 1
Bi1 Bi 0.500 0.500 0.500 1
N1 N 0.000 0.000 0.500 1
```

Summary:
- total magnetic moment (μB/f.u.) = 4.0
- ΔE_f (raw) (eV per atom) = 1.378
- DFT total energy (eV/atom) = -4.7122

=====

Density functional theory data (GGA-PBE) for an optimized crystal structure of Na2In3Br2Cl4.

The structure in CIF format:
```
data_Na2In3Br2Cl4
_chemical_formula_sum 'Na4 In6 Br4 Cl8'
_symmetry_space_group_name_H-M 'I 4/m m m'
_symmetry_Int_Tables_number 139
_symmetry_space_group_name_Hall '-I 4 2'
_cell_length_a 5.052
_cell_length_b 5.052
_cell_length_c 26.224
_cell_angle_alpha 90.00
_cell_angle_beta 90.00
_cell_angle_gamma 90.00
loop_
_atom_site_label
_atom_site_type_symbol
_atom_site_fract_x
_atom_site_fract_y
_atom_site_fract_z
_atom_site_occupancy
Na1 Na 0.000 0.000 0.093 1
In1 In 0.000 0.000 0.318 1
In2 In 0.000 0.000 0.500 1
Br1 Br 0.000 0.000 0.203 1
Cl1 Cl 0.000 0.500 0.063 1
```

Summary:
- total magnetic moment (μB/f.u.) = 0.0
- ΔE_f (raw) (eV per atom) = -1.030
- DFT total energy (eV/atom) = -2.9928

=====

Density functional theory data (GGA-PBE) for an optimized crystal structure of RhSe.

The structure in CIF format:
```
data_RhSe
_chemical_formula_sum 'Rh8 Se8'
_symmetry_space_group_name_H-M 'I 4/m'
_symmetry_Int_Tables_number 87
_symmetry_space_group_name_Hall '-I 4'
_cell_length_a 10.121
_cell_length_b 10.121
_cell_length_c 3.830
_cell_angle_alpha 90.00
_cell_angle_beta 90.00
_cell_angle_gamma 90.00
loop_
_atom_site_label
_atom_site_type_symbol
_atom_site_fract_x
_atom_site_fract_y
_atom_site_fract_z
_atom_site_occupancy
Rh1 Rh 0.155 0.283 0.000 1
Se1 Se 0.082 0.708 0.000 1
```

Summary:
- total magnetic moment (μB/f.u.) = 0.0
- ΔE_f (raw) (eV per atom) = -0.193
- DFT total energy (eV/atom) = -5.6108